A plane-wave DFT calculation with PBE with a Hubbard U was carried out for a geometry-optimized YVO4 structure.

Values from the calculation:
Total DFT energy (no corrections): -49.8 eV/f.u.
V: 12.27 A^3/atom
M_tot: 0.000 μB/cell

abc: 5.096 5.096 6.717
angles: 112.29 112.29 90.00
Sites, in units of the cell vectors:
Y 0.375 0.625 0.750
Y 0.625 0.375 0.250
O 0.647 0.299 0.588
O 0.789 0.647 0.088
O 0.353 0.701 0.412
O 0.701 0.059 0.912
O 0.941 0.789 0.588
O 0.299 0.941 0.088
O 0.211 0.353 0.912
O 0.059 0.211 0.412
V 0.875 0.125 0.750
V 0.125 0.875 0.250